Computed, not measured: a PBEsol-optimized structure of Na2FeSiP at the SCAN level of DFT.

Fermi-level density of states = 0.711 states/eV per atom
space-group type = P4/mmm (123)
E_form (uncorrected) = 861 meV/atom

Lattice parameters (Å, degrees): 5.5196 5.5196 4.3949 90.00 90.00 90.00
Closest atoms and distances in Å follow each position.
Element x y z (fractional)
Na: 0.0000 0.5000 0.0000  2 Si 2.76
Na: 0.5000 0.0000 0.0000  2 Si 2.76
Fe: 0.0000 0.0000 0.5000  8 Na 3.53, 4 P 3.90
Si: 0.5000 0.5000 0.0000  2 P 2.20
P: 0.5000 0.5000 0.5000  2 Si 2.20